No. 1
Below is Ce6Ir2I3N after structural relaxation, with properties calculated at the GGA-PBE level.

a b c (Å): 6.9453 6.9453 8.3103
angles (deg): 97.96 97.96 120.00
Sites, in units of the cell vectors:
Ce 0.0600 0.3636 0.1790
Ce 0.2425 0.2425 0.8181
Ce 0.3636 0.0600 0.1790
Ce 0.6364 0.9400 0.8210
Ce 0.7575 0.7575 0.1819
Ce 0.9400 0.6364 0.8210
Ir 0.3339 0.6661 0.0000
Ir 0.6661 0.3339 0.0000
I 0.1721 0.8279 0.5000
I 0.5000 0.5000 0.5000
I 0.8279 0.1721 0.5000
N 0.0000 0.0000 0.0000

Summary:
**Theoretical density**: 8.1 g/cm3
**Total magnetization**: 6.121 μB per formula unit
**SG**: C2/m
**Formation energy without anion corrections**: -11.587 eV/f.u.
**Electronic total energy**: -6.4906 eV/atom

=====

No. 2
Below is CeNdIrI after structural relaxation, with properties calculated at the GGA-PBE level.

a b c (Å): 4.1693 4.1693 24.4918
angles (deg): 90.00 90.00 120.00
Sites, in units of the cell vectors:
Ce 0.0000 0.0000 0.0000
Ce 0.3333 0.6667 0.6667
Ce 0.6667 0.3333 0.3333
Nd 0.0000 0.0000 0.2107
Nd 0.3333 0.6667 0.8774
Nd 0.6667 0.3333 0.5440
Ir 0.0000 0.0000 0.6095
Ir 0.3333 0.6667 0.2762
Ir 0.6667 0.3333 0.9428
I 0.0000 0.0000 0.4378
I 0.3333 0.6667 0.1045
I 0.6667 0.3333 0.7711

Summary:
**Theoretical density**: 8.2 g/cm3
**Total magnetization**: 0.759 μB per formula unit
**SG**: R3m
**Formation energy without anion corrections**: -3.723 eV/f.u.
**Electronic total energy**: -6.2089 eV/atom

=====

No. 3
Below is Ce8PIr3I4 after structural relaxation, with properties calculated at the GGA-PBE level.

a b c (Å): 9.2116 9.2116 9.2116
angles (deg): 54.15 54.15 54.15
Sites, in units of the cell vectors:
Ce 0.2262 0.7313 0.7313
Ce 0.2288 0.2288 0.2288
Ce 0.2687 0.2687 0.7738
Ce 0.2687 0.7738 0.2687
Ce 0.7313 0.2262 0.7313
Ce 0.7313 0.7313 0.2262
Ce 0.7712 0.7712 0.7712
Ce 0.7738 0.2687 0.2687
P 0.5000 0.5000 0.5000
Ir 0.0000 0.0000 0.5000
Ir 0.0000 0.5000 0.0000
Ir 0.5000 0.0000 0.0000
I 0.0000 0.0000 0.0000
I 0.0000 0.5000 0.5000
I 0.5000 0.0000 0.5000
I 0.5000 0.5000 0.0000

Summary:
**Theoretical density**: 7.8 g/cm3
**Total magnetization**: 8.304 μB per formula unit
**SG**: R-3m
**Formation energy without anion corrections**: -15.535 eV/f.u.
**Electronic total energy**: -6.3249 eV/atom

=====

No. 4
Below is Ce6PIr2I3 after structural relaxation, with properties calculated at the GGA-PBE level.

a b c (Å): 7.2764 7.2764 8.1458
angles (deg): 98.55 98.55 119.97
Sites, in units of the cell vectors:
Ce 0.0979 0.4365 0.8102
Ce 0.2243 0.2243 0.1892
Ce 0.4365 0.0979 0.8102
Ce 0.5635 0.9021 0.1898
Ce 0.7757 0.7757 0.8108
Ce 0.9021 0.5635 0.1898
P 0.5000 0.5000 0.0000
Ir 0.1669 0.8331 0.0000
Ir 0.8331 0.1669 0.0000
I 0.0000 0.0000 0.5000
I 0.3356 0.6644 0.5000
I 0.6644 0.3356 0.5000

Summary:
**Theoretical density**: 7.6 g/cm3
**Total magnetization**: 6.063 μB per formula unit
**SG**: C2/m
**Formation energy without anion corrections**: -11.936 eV/f.u.
**Electronic total energy**: -6.2768 eV/atom

=====

No. 5
Below is Ce8Ir3PdI4 after structural relaxation, with properties calculated at the GGA-PBE level.

a b c (Å): 9.3243 9.3243 9.3243
angles (deg): 53.37 53.37 53.37
Sites, in units of the cell vectors:
Ce 0.2195 0.7343 0.7343
Ce 0.2290 0.2290 0.2290
Ce 0.2657 0.2657 0.7805
Ce 0.2657 0.7805 0.2657
Ce 0.7343 0.2195 0.7343
Ce 0.7343 0.7343 0.2195
Ce 0.7710 0.7710 0.7710
Ce 0.7805 0.2657 0.2657
Ir 0.0000 0.0000 0.5000
Ir 0.0000 0.5000 0.0000
Ir 0.5000 0.0000 0.0000
Pd 0.5000 0.5000 0.5000
I 0.0000 0.0000 0.0000
I 0.0000 0.5000 0.5000
I 0.5000 0.0000 0.5000
I 0.5000 0.5000 0.0000

Summary:
**Theoretical density**: 7.9 g/cm3
**Total magnetization**: 7.926 μB per formula unit
**SG**: R-3m
**Formation energy without anion corrections**: -14.045 eV/f.u.
**Electronic total energy**: -6.2183 eV/atom

=====

No. 6
Below is CePrIrI after structural relaxation, with properties calculated at the GGA-PBE level.

a b c (Å): 4.1802 4.1802 24.5864
angles (deg): 90.00 90.00 120.00
Sites, in units of the cell vectors:
Ce 0.0000 0.0000 0.0000
Ce 0.3333 0.6667 0.6667
Ce 0.6667 0.3333 0.3333
Pr 0.0000 0.0000 0.2104
Pr 0.3333 0.6667 0.8771
Pr 0.6667 0.3333 0.5438
Ir 0.0000 0.0000 0.6101
Ir 0.3333 0.6667 0.2767
Ir 0.6667 0.3333 0.9434
I 0.0000 0.0000 0.4373
I 0.3333 0.6667 0.1040
I 0.6667 0.3333 0.7706

Summary:
**Theoretical density**: 8.0 g/cm3
**Total magnetization**: 0.758 μB per formula unit
**SG**: R3m
**Formation energy without anion corrections**: -3.709 eV/f.u.
**Electronic total energy**: -6.2084 eV/atom

=====

No. 7
Below is Ce8Ir3PtI4 after structural relaxation, with properties calculated at the GGA-PBE level.

a b c (Å): 9.3134 9.3134 9.3134
angles (deg): 53.48 53.48 53.48
Sites, in units of the cell vectors:
Ce 0.2221 0.7322 0.7322
Ce 0.2289 0.2289 0.2289
Ce 0.2678 0.2678 0.7779
Ce 0.2678 0.7779 0.2678
Ce 0.7322 0.2221 0.7322
Ce 0.7322 0.7322 0.2221
Ce 0.7711 0.7711 0.7711
Ce 0.7779 0.2678 0.2678
Ir 0.0000 0.0000 0.5000
Ir 0.0000 0.5000 0.0000
Ir 0.5000 0.0000 0.0000
Pt 0.5000 0.5000 0.5000
I 0.0000 0.0000 0.0000
I 0.0000 0.5000 0.5000
I 0.5000 0.0000 0.5000
I 0.5000 0.5000 0.0000

Summary:
**Theoretical density**: 8.2 g/cm3
**Total magnetization**: 7.705 μB per formula unit
**SG**: R-3m
**Formation energy without anion corrections**: -15.110 eV/f.u.
**Electronic total energy**: -6.3379 eV/atom

=====

No. 8
Below is Ce8Ir3RuI4 after structural relaxation, with properties calculated at the GGA-PBE level.

a b c (Å): 9.3046 9.3046 9.3046
angles (deg): 52.99 52.99 52.99
Sites, in units of the cell vectors:
Ce 0.2282 0.2282 0.2282
Ce 0.2321 0.7266 0.7266
Ce 0.2734 0.2734 0.7679
Ce 0.2734 0.7679 0.2734
Ce 0.7266 0.2321 0.7266
Ce 0.7266 0.7266 0.2321
Ce 0.7679 0.2734 0.2734
Ce 0.7718 0.7718 0.7718
Ir 0.0000 0.0000 0.5000
Ir 0.0000 0.5000 0.0000
Ir 0.5000 0.0000 0.0000
Ru 0.5000 0.5000 0.5000
I 0.0000 0.0000 0.0000
I 0.0000 0.5000 0.5000
I 0.5000 0.0000 0.5000
I 0.5000 0.5000 0.0000

Summary:
**Theoretical density**: 8.0 g/cm3
**Total magnetization**: 6.719 μB per formula unit
**SG**: R-3m
**Formation energy without anion corrections**: -13.748 eV/f.u.
**Electronic total energy**: -6.4549 eV/atom

=====

No. 9
Below is Ce6IrRu2I3 after structural relaxation, with properties calculated at the GGA-PBE level.

a b c (Å): 7.1306 7.1306 8.3361
angles (deg): 98.19 98.19 120.00
Sites, in units of the cell vectors:
Ce 0.1014 0.4383 0.8151
Ce 0.2246 0.2246 0.1848
Ce 0.4383 0.1014 0.8151
Ce 0.5617 0.8986 0.1850
Ce 0.7754 0.7754 0.8152
Ce 0.8986 0.5617 0.1850
Ir 0.5000 0.5000 0.0000
Ru 0.1667 0.8333 0.0000
Ru 0.8333 0.1667 0.0000
I 0.0000 0.0000 0.5000
I 0.3334 0.6666 0.5000
I 0.6666 0.3334 0.5000

Summary:
**Theoretical density**: 7.6 g/cm3
**Total magnetization**: 4.305 μB per formula unit
**SG**: C2/m
**Formation energy without anion corrections**: -9.046 eV/f.u.
**Electronic total energy**: -6.3927 eV/atom

=====

No. 10
Below is Ce6Ir2SI3 after structural relaxation, with properties calculated at the GGA-PBE level.

a b c (Å): 7.2384 7.2384 8.1797
angles (deg): 98.46 98.46 119.99
Sites, in units of the cell vectors:
Ce 0.0970 0.4360 0.8092
Ce 0.2242 0.2242 0.1902
Ce 0.4360 0.0970 0.8092
Ce 0.5640 0.9030 0.1908
Ce 0.7758 0.7758 0.8098
Ce 0.9030 0.5640 0.1908
Ir 0.1669 0.8331 0.0000
Ir 0.8331 0.1669 0.0000
S 0.5000 0.5000 0.0000
I 0.0000 0.0000 0.5000
I 0.3349 0.6651 0.5000
I 0.6651 0.3349 0.5000

Summary:
**Theoretical density**: 7.7 g/cm3
**Total magnetization**: 6.600 μB per formula unit
**SG**: C2/m
**Formation energy without anion corrections**: -12.813 eV/f.u.
**Electronic total energy**: -6.2430 eV/atom

=====

No. 11
Below is Ce8Ir3SeI4 after structural relaxation, with properties calculated at the GGA-PBE level.

a b c (Å): 9.2115 9.2115 9.2115
angles (deg): 54.56 54.56 54.56
Sites, in units of the cell vectors:
Ce 0.2178 0.7378 0.7378
Ce 0.2283 0.2283 0.2283
Ce 0.2622 0.2622 0.7822
Ce 0.2622 0.7822 0.2622
Ce 0.7378 0.2177 0.7378
Ce 0.7378 0.7378 0.2178
Ce 0.7717 0.7717 0.7717
Ce 0.7822 0.2622 0.2622
Ir 0.0000 0.0000 0.5000
Ir 0.0000 0.5000 0.0000
Ir 0.5000 0.0000 0.0000
Se 0.5000 0.5000 0.5000
I 0.0000 0.0000 0.0000
I 0.0000 0.5000 0.5000
I 0.5000 0.0000 0.5000
I 0.5000 0.5000 0.0000

Summary:
**Theoretical density**: 7.9 g/cm3
**Total magnetization**: 8.484 μB per formula unit
**SG**: R-3m
**Formation energy without anion corrections**: -15.924 eV/f.u.
**Electronic total energy**: -6.2289 eV/atom

=====

No. 12
Below is CeSmIrI after structural relaxation, with properties calculated at the GGA-PBE level.

a b c (Å): 4.1521 4.1521 24.3391
angles (deg): 90.00 90.00 120.00
Sites, in units of the cell vectors:
Ce 0.0000 0.0000 0.0000
Ce 0.3333 0.6667 0.6667
Ce 0.6667 0.3333 0.3333
Sm 0.0000 0.0000 0.2113
Sm 0.3333 0.6667 0.8779
Sm 0.6667 0.3333 0.5446
Ir 0.0000 0.0000 0.6086
Ir 0.3333 0.6667 0.2753
Ir 0.6667 0.3333 0.9419
I 0.0000 0.0000 0.4384
I 0.3333 0.6667 0.1051
I 0.6667 0.3333 0.7718

Summary:
**Theoretical density**: 8.4 g/cm3
**Total magnetization**: 0.765 μB per formula unit
**SG**: R3m
**Formation energy without anion corrections**: -3.736 eV/f.u.
**Electronic total energy**: -6.2000 eV/atom

=====

electronic total energy of number 4 (Ce6PIr2I3)? -6.2768 eV/atom

=====

What is the formula in the seventh record? Ce8Ir3PtI4